A plane-wave DFT calculation with PBE was carried out for a relaxed TaAu2Se crystal.

Output
Mass density   13.0 g/cm³
DOS(E_F)   2.563 states/eV per cell
Calculated volume   83.4 Å³/cell
Raw formation energy   -0.012 eV per atom
Calculated total energy   -5.4852 eV per atom

Lattice parameters (Å, degrees): 3.4584 3.2867 7.4057 90.00 97.83 90.00
Space group Pm (No. 6)
Unique sites:
Ta1 0.0000 0.0000 0.0000 x1
Au1 0.4431 0.5000 0.7964 x1
Au2 0.8788 0.0000 0.5820 x1
Se1 0.1111 0.5000 0.2583 x1



A plane-wave DFT calculation with PBE was carried out for a relaxed V2CdI crystal.

Output
Mass density   7.6 g/cm³
ΔE to the lowest computed polymorph   0 meV per atom
DOS(E_F)   19.534 states/eV per cell
Calculated volume   299.8 Å³/cell
Raw formation energy   0.833 eV per atom
Calculated total energy   -4.3426 eV per atom

Lattice parameters (Å, degrees): 6.6928 6.6928 6.6928 90.00 90.00 90.00
Space group Fm-3m (No. 225)
Unique sites:
V1 0.2500 0.2500 0.2500 x8
Cd1 0.0000 0.0000 0.0000 x4
I1 0.0000 0.0000 0.5000 x4



A plane-wave DFT calculation with PBE was carried out for a relaxed InSn3Au crystal.

Output
Mass density   8.2 g/cm³
ΔE to the lowest computed polymorph   33 meV per atom
DOS(E_F)   9.491 states/eV per cell
Calculated volume   541.4 Å³/cell
Calculated formation energy   -0.015 eV/atom
Calculated total energy   -3.6197 eV per atom

Lattice parameters (Å, degrees): 11.0879 9.1367 6.5362 90.00 125.15 90.00
Space group C2/m (No. 12)
Unique sites:
In1 0.0437 0.0000 0.2775 x4
Sn1 0.0571 0.5000 0.3074 x4
Sn2 0.2286 0.2036 0.7353 x8
Au1 0.2438 0.5000 0.8740 x4



A plane-wave DFT calculation with PBE was carried out for a relaxed CeHo2Si crystal.

Output
Mass density   7.5 g/cm³
ΔE to the lowest computed polymorph   281 meV per atom
DOS(E_F)   19.767 states/eV per cell
Calculated volume   332.7 Å³/cell
Raw formation energy   0.023 eV per atom
Calculated total energy   -5.1056 eV per atom

Lattice parameters (Å, degrees): 3.4513 3.4513 32.2490 90.00 90.00 120.00
Space group R-3m (No. 166, hexagonal axes)
Unique sites:
Ce1 0.0000 0.0000 0.0000 x3
Ho1 0.0000 0.0000 0.1041 x6
Si1 0.0000 0.0000 0.5000 x3



A plane-wave DFT calculation with PBE was carried out for a relaxed ZrSc2FeRu crystal.

Output
Mass density   4.6 g/cm³
DOS(E_F)   10.013 states/eV per cell
Calculated volume   121.0 Å³/cell
Calculated formation energy   1.294 eV/atom
Calculated total energy   -6.4963 eV per atom

Lattice parameters (Å, degrees): 5.0874 5.0874 4.6736 90.00 90.00 90.00
Space group P4/mmm (No. 123)
Unique sites:
Zr1 0.0000 0.0000 0.0000 x1
Sc1 0.0000 0.5000 0.0000 x2
Fe1 0.5000 0.5000 0.5000 x1
Ru1 0.0000 0.0000 0.5000 x1



A plane-wave DFT calculation with PBE was carried out for a relaxed La3ErFe crystal.

Output
Mass density   6.7 g/cm³
DOS(E_F)   7.083 states/eV per cell
Calculated volume   159.2 Å³/cell
Calculated formation energy   0.131 eV/atom
Calculated total energy   -5.4309 eV per atom

Lattice parameters (Å, degrees): 5.4200 5.4200 5.4200 90.00 90.00 90.00
Space group Pm-3m (No. 221)
Unique sites:
La1 0.0000 0.0000 0.5000 x3
Er1 0.5000 0.5000 0.5000 x1
Fe1 0.0000 0.0000 0.0000 x1



A plane-wave DFT calculation with PBE was carried out for a relaxed Na2CaIO6 crystal.

Output
Mass density   3.6 g/cm³
DOS(E_F)   24.660 states/eV per cell
Calculated volume   570.8 Å³/cell
Raw formation energy   -1.288 eV per atom
Calculated total energy   -4.8823 eV per atom

Lattice parameters (Å, degrees): 8.2950 8.2950 8.2950 90.00 90.00 90.00
Space group Fm-3m (No. 225)
Unique sites:
Na1 0.2500 0.2500 0.2500 x8
Ca1 0.0000 0.0000 0.0000 x4
I1 0.0000 0.0000 0.5000 x4
O1 0.0000 0.0000 0.2733 x24



A plane-wave DFT calculation with PBE was carried out for a relaxed Sm6Te3Pt2Se crystal.

Output
Mass density   8.4 g/cm³
DOS(E_F)   13.092 states/eV per cell
Calculated volume   694.5 Å³/cell
Raw formation energy   -1.395 eV per atom
Calculated total energy   -5.8368 eV per atom

Lattice parameters (Å, degrees): 7.3674 12.7901 7.7687 90.00 108.42 90.00
Space group C2/m (No. 12)
Unique sites:
Sm1 0.2256 0.0000 0.2180 x4
Sm2 0.2477 0.3267 0.2193 x8
Te1 0.0000 0.0000 0.5000 x2
Te2 0.0000 0.3392 0.5000 x4
Pt1 0.0000 0.1680 0.0000 x4
Se1 0.0000 0.5000 0.0000 x2



A plane-wave DFT calculation with PBE was carried out for a relaxed NaLi3Sb crystal.

Output
Mass density   2.5 g/cm³
ΔE to the lowest computed polymorph   483 meV per atom
DOS(E_F)   1.246 states/eV per cell
Calculated volume   110.5 Å³/cell
Raw formation energy   0.186 eV per atom
Calculated total energy   -2.0502 eV per atom

Lattice parameters (Å, degrees): 4.7985 4.7985 4.7985 90.00 90.00 90.00
Space group Pm-3m (No. 221)
Unique sites:
Na1 0.0000 0.0000 0.0000 x1
Li1 0.0000 0.0000 0.5000 x3
Sb1 0.5000 0.5000 0.5000 x1



A plane-wave DFT calculation with PBE was carried out for a relaxed Al3CdNi crystal.

Output
Mass density   4.4 g/cm³
ΔE to the lowest computed polymorph   0 meV per atom
DOS(E_F)   1.339 states/eV per cell
Calculated volume   95.5 Å³/cell
Calculated formation energy   -0.032 eV/atom
Calculated total energy   -3.6164 eV per atom

Lattice parameters (Å, degrees): 4.5706 4.5706 4.5706 90.00 90.00 90.00
Space group Pm-3m (No. 221)
Unique sites:
Al1 0.0000 0.0000 0.5000 x3
Cd1 0.5000 0.5000 0.5000 x1
Ni1 0.0000 0.0000 0.0000 x1



A plane-wave DFT calculation with PBE was carried out for a relaxed YbCu3Se3 crystal.

Output
Mass density   7.0 g/cm³
DOS(E_F)   87.570 states/eV per cell
Calculated volume   851.5 Å³/cell
Raw formation energy   -0.675 eV per atom
Calculated total energy   -4.1423 eV per atom

Lattice parameters (Å, degrees): 6.9758 6.9758 20.2049 90.00 90.00 120.00
Space group R-3 (No. 148, hexagonal axes)
Unique sites:
Yb1 0.0000 0.0000 0.1664 x6
Cu1 0.0022 0.3483 0.6261 x18
Se1 0.0015 0.3262 0.4162 x18



A plane-wave DFT calculation with PBE was carried out for a relaxed Tl2Pd2Au crystal.

Output
Mass density   13.4 g/cm³
ΔE to the lowest computed polymorph   0 meV per atom
DOS(E_F)   3.626 states/eV per cell
Calculated volume   203.0 Å³/cell
Calculated formation energy   -0.094 eV/atom
Calculated total energy   -3.7730 eV per atom

Lattice parameters (Å, degrees): 7.2769 7.2769 3.8332 90.00 90.00 90.00
Space group P4/mbm (No. 127)
Unique sites:
Tl1 0.1641 0.3359 0.0000 x4
Pd1 0.1404 0.6404 0.5000 x4
Au1 0.0000 0.0000 0.5000 x2